# PBE Pr2ErTmP4, relaxed
# E: -52.604 eV/cell
data_Pr2ErTmP4
_chemical_formula_sum 'Pr2 Er1 Tm1 P4'
_cell_length_a 7.0643
_cell_length_b 4.0859
_cell_length_c 7.0732
_cell_angle_alpha 90.00
_cell_angle_beta 109.49
_cell_angle_gamma 90.00
_symmetry_space_group_name_H-M 'P 1 2/m 1'
_symmetry_Int_Tables_number 10
loop_
_symmetry_equiv_pos_as_xyz
'x,y,z'
'-x,-y,-z'
'-x,y,-z'
'x,-y,z'
loop_
_atom_site_label
_atom_site_type_symbol
_atom_site_fract_x
_atom_site_fract_y
_atom_site_fract_z
Pr1 Pr 0.0000 0.0000 0.0000
Pr2 Pr 0.0000 0.5000 0.5000
Er1 Er 0.5000 0.0000 0.5000
Tm1 Tm 0.5000 0.5000 0.0000
P1 P 0.2650 0.0000 0.7556
P2 P 0.2647 0.5000 0.2543

***

# PBE PrErTm2P4, relaxed
# E: -52.446 eV/cell
data_PrErTm2P4
_chemical_formula_sum 'Pr1 Er1 Tm2 P4'
_cell_length_a 6.9598
_cell_length_b 4.0226
_cell_length_c 6.9617
_cell_angle_alpha 90.00
_cell_angle_beta 109.48
_cell_angle_gamma 90.00
_symmetry_space_group_name_H-M 'P 1 2/m 1'
_symmetry_Int_Tables_number 10
loop_
_symmetry_equiv_pos_as_xyz
'x,y,z'
'-x,-y,-z'
'-x,y,-z'
'x,-y,z'
loop_
_atom_site_label
_atom_site_type_symbol
_atom_site_fract_x
_atom_site_fract_y
_atom_site_fract_z
Pr1 Pr 0.0000 0.0000 0.0000
Er1 Er 0.0000 0.5000 0.5000
Tm1 Tm 0.5000 0.0000 0.5000
Tm2 Tm 0.5000 0.5000 0.0000
P1 P 0.2560 0.0000 0.7457
P2 P 0.2608 0.5000 0.2600

***

# PBE Pr2ErUP4, relaxed
# E: -58.229 eV/cell
data_Pr2ErUP4
_chemical_formula_sum 'Pr2 Er1 U1 P4'
_cell_length_a 7.0273
_cell_length_b 4.0571
_cell_length_c 7.0752
_cell_angle_alpha 90.00
_cell_angle_beta 109.16
_cell_angle_gamma 90.00
_symmetry_space_group_name_H-M 'P 1 2/m 1'
_symmetry_Int_Tables_number 10
loop_
_symmetry_equiv_pos_as_xyz
'x,y,z'
'-x,-y,-z'
'-x,y,-z'
'x,-y,z'
loop_
_atom_site_label
_atom_site_type_symbol
_atom_site_fract_x
_atom_site_fract_y
_atom_site_fract_z
Pr1 Pr 0.0000 0.0000 0.0000
Pr2 Pr 0.5000 0.5000 0.0000
Er1 Er 0.0000 0.5000 0.5000
U1 U 0.5000 0.0000 0.5000
P1 P 0.2493 0.0000 0.7308
P2 P 0.2596 0.5000 0.2698

***

# PBE PrYEr2P4, relaxed
# E: -54.630 eV/cell
data_PrYEr2P4
_chemical_formula_sum 'Pr1 Y1 Er2 P4'
_cell_length_a 6.9965
_cell_length_b 4.0431
_cell_length_c 6.9974
_cell_angle_alpha 90.00
_cell_angle_beta 109.47
_cell_angle_gamma 90.00
_symmetry_space_group_name_H-M 'P 1 2/m 1'
_symmetry_Int_Tables_number 10
loop_
_symmetry_equiv_pos_as_xyz
'x,y,z'
'-x,-y,-z'
'-x,y,-z'
'x,-y,z'
loop_
_atom_site_label
_atom_site_type_symbol
_atom_site_fract_x
_atom_site_fract_y
_atom_site_fract_z
Pr1 Pr 0.0000 0.0000 0.0000
Y1 Y 0.0000 0.5000 0.5000
Er1 Er 0.5000 0.0000 0.5000
Er2 Er 0.5000 0.5000 0.0000
P1 P 0.2567 0.0000 0.7473
P2 P 0.2607 0.5000 0.2584

***

# PBE Pr2YErP4, relaxed
# E: -54.675 eV/cell
data_Pr2YErP4
_chemical_formula_sum 'Pr2 Y1 Er1 P4'
_cell_length_a 7.0937
_cell_length_b 4.1019
_cell_length_c 7.1011
_cell_angle_alpha 90.00
_cell_angle_beta 109.48
_cell_angle_gamma 90.00
_symmetry_space_group_name_H-M 'P 1 2/m 1'
_symmetry_Int_Tables_number 10
loop_
_symmetry_equiv_pos_as_xyz
'x,y,z'
'-x,-y,-z'
'-x,y,-z'
'x,-y,z'
loop_
_atom_site_label
_atom_site_type_symbol
_atom_site_fract_x
_atom_site_fract_y
_atom_site_fract_z
Pr1 Pr 0.0000 0.0000 0.0000
Pr2 Pr 0.0000 0.5000 0.5000
Y1 Y 0.5000 0.0000 0.5000
Er1 Er 0.5000 0.5000 0.0000
P1 P 0.2621 0.5000 0.2527
P2 P 0.2631 0.0000 0.7557

***

# PBE Er2PPt6, relaxed
# E: -119.691 eV/cell
data_Er2PPt6
_chemical_formula_sum 'Er4 P2 Pt12'
_cell_length_a 9.6940
_cell_length_b 5.6162
_cell_length_c 6.0008
_cell_angle_alpha 90.00
_cell_angle_beta 103.48
_cell_angle_gamma 90.00
_symmetry_space_group_name_H-M 'C 1 2/m 1'
_symmetry_Int_Tables_number 12
loop_
_symmetry_equiv_pos_as_xyz
'x,y,z'
'-x,-y,-z'
'-x,y,-z'
'x,-y,z'
'x+1/2,y+1/2,z'
'-x+1/2,-y+1/2,-z'
'-x+1/2,y+1/2,-z'
'x+1/2,-y+1/2,z'
loop_
_atom_site_label
_atom_site_type_symbol
_atom_site_fract_x
_atom_site_fract_y
_atom_site_fract_z
Er1 Er 0.1428 0.0000 0.3522
P1 P 0.0000 0.5000 0.5000
Pt1 Pt 0.1274 0.5000 0.2133
Pt2 Pt 0.1303 0.2460 0.8039

***

# PBE Er2P3Pt9, relaxed
# E: -360.460 eV/cell
data_Er2P3Pt9
_chemical_formula_sum 'Er8 P12 Pt36'
_cell_length_a 13.5313
_cell_length_b 7.9388
_cell_length_c 9.6588
_cell_angle_alpha 90.00
_cell_angle_beta 117.70
_cell_angle_gamma 90.00
_symmetry_space_group_name_H-M 'C 1 2/c 1'
_symmetry_Int_Tables_number 15
loop_
_symmetry_equiv_pos_as_xyz
'x,y,z'
'-x,-y,-z'
'-x,y,-z+1/2'
'x,-y,z+1/2'
'x+1/2,y+1/2,z'
'-x+1/2,-y+1/2,-z'
'-x+1/2,y+1/2,-z+1/2'
'x+1/2,-y+1/2,z+1/2'
loop_
_atom_site_label
_atom_site_type_symbol
_atom_site_fract_x
_atom_site_fract_y
_atom_site_fract_z
Er1 Er 0.1716 0.0822 0.2517
P1 P 0.0930 0.2182 0.4957
P2 P 0.2500 0.2500 0.0000
Pt1 Pt 0.0000 0.3561 0.2500
Pt2 Pt 0.0602 0.0665 0.9202
Pt3 Pt 0.1032 0.3170 0.7302
Pt4 Pt 0.1201 0.3944 0.0666
Pt5 Pt 0.2258 0.4064 0.4136

***

# PBE Er2PPt3, relaxed
# E: -318.118 eV/cell
data_Er2PPt3
_chemical_formula_sum 'Er16 P8 Pt24'
_cell_length_a 7.3992
_cell_length_b 8.5520
_cell_length_c 14.8980
_cell_angle_alpha 90.00
_cell_angle_beta 90.00
_cell_angle_gamma 90.00
_symmetry_space_group_name_H-M 'F m m m'
_symmetry_Int_Tables_number 69
_symmetry_space_group_name_Hall '-F 2 2'
loop_
_atom_site_label
_atom_site_type_symbol
_atom_site_fract_x
_atom_site_fract_y
_atom_site_fract_z
Er1 Er 0.2383 0.0000 0.0000
Er2 Er 0.2500 0.2500 0.2500
P1 P 0.0000 0.0000 0.3345
Pt1 Pt 0.0000 0.0000 0.1776
Pt2 Pt 0.0000 0.2353 0.4119

***

# PBE Er2PPt, relaxed
# E: -68.100 eV/cell
data_Er2PPt
_chemical_formula_sum 'Er6 P3 Pt3'
_cell_length_a 3.7071
_cell_length_b 3.7071
_cell_length_c 25.5622
_cell_angle_alpha 90.00
_cell_angle_beta 90.00
_cell_angle_gamma 120.00
_symmetry_space_group_name_H-M 'R -3 m'
_symmetry_Int_Tables_number 166
_symmetry_space_group_name_Hall '-R 3 2"'
loop_
_atom_site_label
_atom_site_type_symbol
_atom_site_fract_x
_atom_site_fract_y
_atom_site_fract_z
Er1 Er 0.0000 0.0000 0.1028
P1 P 0.0000 0.0000 0.5000
Pt1 Pt 0.0000 0.0000 0.0000

***

# PBE RbErP2Pt4, relaxed
# E: -46.581 eV/cell
data_RbErP2Pt4
_chemical_formula_sum 'Rb1 Er1 P2 Pt4'
_cell_length_a 4.0381
_cell_length_b 4.0381
_cell_length_c 10.9266
_cell_angle_alpha 90.00
_cell_angle_beta 90.00
_cell_angle_gamma 90.00
_symmetry_space_group_name_H-M 'P 4/m m m'
_symmetry_Int_Tables_number 123
_symmetry_space_group_name_Hall '-P 4 2'
loop_
_atom_site_label
_atom_site_type_symbol
_atom_site_fract_x
_atom_site_fract_y
_atom_site_fract_z
Rb1 Rb 0.0000 0.0000 0.0000
Er1 Er 0.0000 0.0000 0.5000
P1 P 0.5000 0.5000 0.1972
Pt1 Pt 0.0000 0.5000 0.3066

***

# PBE ErP2PtRh5, relaxed
# E: -62.377 eV/cell
data_ErP2PtRh5
_chemical_formula_sum 'Er1 P2 Pt1 Rh5'
_cell_length_a 4.5475
_cell_length_b 4.5475
_cell_length_c 6.8689
_cell_angle_alpha 90.00
_cell_angle_beta 90.00
_cell_angle_gamma 90.00
_symmetry_space_group_name_H-M 'P 4/m m m'
_symmetry_Int_Tables_number 123
_symmetry_space_group_name_Hall '-P 4 2'
loop_
_atom_site_label
_atom_site_type_symbol
_atom_site_fract_x
_atom_site_fract_y
_atom_site_fract_z
Er1 Er 0.0000 0.0000 0.0000
P1 P 0.5000 0.5000 0.3403
Pt1 Pt 0.0000 0.0000 0.5000
Rh1 Rh 0.0000 0.5000 0.2813
Rh2 Rh 0.5000 0.5000 0.0000

***

# PBE Er4P3PtRh12, relaxed
# E: -275.780 eV/cell
data_Er4P3PtRh12
_chemical_formula_sum 'Er8 P6 Pt2 Rh24'
_cell_length_a 9.0346
_cell_length_b 9.0346
_cell_length_c 9.0346
_cell_angle_alpha 90.00
_cell_angle_beta 90.00
_cell_angle_gamma 90.00
_symmetry_space_group_name_H-M 'I m -3 m'
_symmetry_Int_Tables_number 229
_symmetry_space_group_name_Hall '-I 4 2 3'
loop_
_atom_site_label
_atom_site_type_symbol
_atom_site_fract_x
_atom_site_fract_y
_atom_site_fract_z
Er1 Er 0.2500 0.2500 0.2500
P1 P 0.0000 0.0000 0.5000
Pt1 Pt 0.0000 0.0000 0.0000
Rh1 Rh 0.0000 0.0000 0.2703
Rh2 Rh 0.0000 0.2500 0.5000

***

# PBE Er3P2PtRh9, relaxed
# E: -104.638 eV/cell
data_Er3P2PtRh9
_chemical_formula_sum 'Er3 P2 Pt1 Rh9'
_cell_length_a 5.8005
_cell_length_b 5.8005
_cell_length_c 9.5126
_cell_angle_alpha 90.00
_cell_angle_beta 90.00
_cell_angle_gamma 120.00
_symmetry_space_group_name_H-M 'P -3 m 1'
_symmetry_Int_Tables_number 164
_symmetry_space_group_name_Hall '-P 3 2"'
loop_
_atom_site_label
_atom_site_type_symbol
_atom_site_fract_x
_atom_site_fract_y
_atom_site_fract_z
Er1 Er 0.0000 0.0000 0.0000
Er2 Er 0.3333 0.6667 0.6062
P1 P 0.3333 0.6667 0.1566
Pt1 Pt 0.0000 0.0000 0.5000
Rh1 Rh 0.0000 0.5000 0.0000
Rh2 Rh 0.1532 0.3065 0.2812

***

# PBE Er6P2PtS3, relaxed
# energy relative to the elements, uncorrected: -20.775 eV/f.u.
data_Er6P2PtS3
_chemical_formula_sum 'Er12 P4 Pt2 S6'
_cell_length_a 17.2510
_cell_length_b 3.9135
_cell_length_c 7.9407
_cell_angle_alpha 90.00
_cell_angle_beta 103.57
_cell_angle_gamma 90.00
_symmetry_space_group_name_H-M 'C 1 2/m 1'
_symmetry_Int_Tables_number 12
loop_
_symmetry_equiv_pos_as_xyz
'x,y,z'
'-x,-y,-z'
'-x,y,-z'
'x,-y,z'
'x+1/2,y+1/2,z'
'-x+1/2,-y+1/2,-z'
'-x+1/2,y+1/2,-z'
'x+1/2,-y+1/2,z'
loop_
_atom_site_label
_atom_site_type_symbol
_atom_site_fract_x
_atom_site_fract_y
_atom_site_fract_z
Er1 Er 0.0011 0.0000 0.2501
Er2 Er 0.1676 0.5000 0.0894
Er3 Er 0.1694 0.5000 0.5785
P1 P 0.1666 0.0000 0.3343
Pt1 Pt 0.0000 0.5000 0.0000
S1 S 0.0000 0.5000 0.5000
S2 S 0.1690 0.0000 0.8320

***

# PBE ErSb2P2Pt7, relaxed
# energy relative to the elements, uncorrected: -8.594 eV/f.u.
data_ErSb2P2Pt7
_chemical_formula_sum 'Er2 Sb4 P4 Pt14'
_cell_length_a 3.9643
_cell_length_b 3.9643
_cell_length_c 29.5196
_cell_angle_alpha 90.00
_cell_angle_beta 90.00
_cell_angle_gamma 90.00
_symmetry_space_group_name_H-M 'I 4/m m m'
_symmetry_Int_Tables_number 139
_symmetry_space_group_name_Hall '-I 4 2'
loop_
_atom_site_label
_atom_site_type_symbol
_atom_site_fract_x
_atom_site_fract_y
_atom_site_fract_z
Er1 Er 0.0000 0.0000 0.0000
Sb1 Sb 0.0000 0.0000 0.2114
P1 P 0.0000 0.0000 0.3814
Pt1 Pt 0.0000 0.0000 0.3032
Pt2 Pt 0.0000 0.0000 0.5000
Pt3 Pt 0.0000 0.5000 0.0740

***

# PBE Er6P2PtSe3, relaxed
# energy relative to the elements, uncorrected: -19.712 eV/f.u.
data_Er6P2PtSe3
_chemical_formula_sum 'Er12 P4 Pt2 Se6'
_cell_length_a 17.6802
_cell_length_b 3.9820
_cell_length_c 8.1487
_cell_angle_alpha 90.00
_cell_angle_beta 103.73
_cell_angle_gamma 90.00
_symmetry_space_group_name_H-M 'C 1 2/m 1'
_symmetry_Int_Tables_number 12
loop_
_symmetry_equiv_pos_as_xyz
'x,y,z'
'-x,-y,-z'
'-x,y,-z'
'x,-y,z'
'x+1/2,y+1/2,z'
'-x+1/2,-y+1/2,-z'
'-x+1/2,y+1/2,-z'
'x+1/2,-y+1/2,z'
loop_
_atom_site_label
_atom_site_type_symbol
_atom_site_fract_x
_atom_site_fract_y
_atom_site_fract_z
Er1 Er 0.0049 0.0000 0.2400
Er2 Er 0.1649 0.5000 0.0973
Er3 Er 0.1718 0.5000 0.5720
P1 P 0.1676 0.0000 0.3363
Pt1 Pt 0.0000 0.5000 0.0000
Se1 Se 0.0000 0.5000 0.5000
Se2 Se 0.1685 0.0000 0.8317

***

# PBE Er8P3PtSe4, relaxed
# energy relative to the elements, uncorrected: -26.500 eV/f.u.
data_Er8P3PtSe4
_chemical_formula_sum 'Er24 P9 Pt3 Se12'
_cell_length_a 8.0219
_cell_length_b 8.0219
_cell_length_c 19.8978
_cell_angle_alpha 90.00
_cell_angle_beta 90.00
_cell_angle_gamma 120.00
_symmetry_space_group_name_H-M 'R -3 m'
_symmetry_Int_Tables_number 166
_symmetry_space_group_name_Hall '-R 3 2"'
loop_
_atom_site_label
_atom_site_type_symbol
_atom_site_fract_x
_atom_site_fract_y
_atom_site_fract_z
Er1 Er 0.0000 0.0000 0.2426
Er2 Er 0.0017 0.5008 0.7562
P1 P 0.0000 0.5000 0.5000
Pt1 Pt 0.0000 0.0000 0.5000
Se1 Se 0.0000 0.0000 0.0000
Se2 Se 0.0000 0.5000 0.0000

***

# PBE Er2SiPPt6, relaxed
# energy relative to the elements, uncorrected: -9.565 eV/f.u.
data_Er2SiPPt6
_chemical_formula_sum 'Er4 Si2 P2 Pt12'
_cell_length_a 5.5248
_cell_length_b 8.3402
_cell_length_c 8.1667
_cell_angle_alpha 90.00
_cell_angle_beta 90.00
_cell_angle_gamma 90.00
_symmetry_space_group_name_H-M 'P m m n'
_symmetry_Int_Tables_number 59
loop_
_symmetry_equiv_pos_as_xyz
'x,y,z'
'-x,-y,-z'
'-x+1/2,-y+1/2,z'
'x+1/2,y+1/2,-z'
'x+1/2,-y,-z'
'-x+1/2,y,z'
'-x,y+1/2,-z'
'x,-y+1/2,z'
loop_
_atom_site_label
_atom_site_type_symbol
_atom_site_fract_x
_atom_site_fract_y
_atom_site_fract_z
Er1 Er 0.2500 0.0095 0.2333
Si1 Si 0.2500 0.7500 0.7686
P1 P 0.2500 0.2500 0.7642
Pt1 Pt 0.0019 0.2500 0.4843
Pt2 Pt 0.0021 0.7500 0.0076
Pt3 Pt 0.2500 0.0060 0.6297

***

# PBE Sr2ErP3Pt12, relaxed
# E: -312.418 eV/cell
data_Sr2ErP3Pt12
_chemical_formula_sum 'Sr6 Er3 P9 Pt36'
_cell_length_a 8.3780
_cell_length_b 8.3780
_cell_length_c 18.2943
_cell_angle_alpha 90.00
_cell_angle_beta 90.00
_cell_angle_gamma 120.00
_symmetry_space_group_name_H-M 'R -3 m'
_symmetry_Int_Tables_number 166
_symmetry_space_group_name_Hall '-R 3 2"'
loop_
_atom_site_label
_atom_site_type_symbol
_atom_site_fract_x
_atom_site_fract_y
_atom_site_fract_z
Sr1 Sr 0.0000 0.0000 0.1004
Er1 Er 0.0000 0.0000 0.5000
P1 P 0.0000 0.5000 0.0000
Pt1 Pt 0.0178 0.5089 0.8750
Pt2 Pt 0.0461 0.5231 0.3573

***

# PBE SrErP2Pt4, relaxed
# E: -48.377 eV/cell
data_SrErP2Pt4
_chemical_formula_sum 'Sr1 Er1 P2 Pt4'
_cell_length_a 4.0853
_cell_length_b 4.0853
_cell_length_c 9.8489
_cell_angle_alpha 90.00
_cell_angle_beta 90.00
_cell_angle_gamma 90.00
_symmetry_space_group_name_H-M 'P 4/m m m'
_symmetry_Int_Tables_number 123
_symmetry_space_group_name_Hall '-P 4 2'
loop_
_atom_site_label
_atom_site_type_symbol
_atom_site_fract_x
_atom_site_fract_y
_atom_site_fract_z
Sr1 Sr 0.0000 0.0000 0.0000
Er1 Er 0.0000 0.0000 0.5000
P1 P 0.5000 0.5000 0.1674
Pt1 Pt 0.0000 0.5000 0.2879

***

Number 1: N(E_F) 0.79 states/eV/cell, V 192 Å³/cell. Number 2: N(E_F) 0.83 states/eV/cell, V 184 Å³/cell. Number 3: N(E_F) 7.12 states/eV/cell, V 191 Å³/cell. Number 4: N(E_F) 0.80 states/eV/cell, V 187 Å³/cell. Number 5: N(E_F) 0.77 states/eV/cell, V 195 Å³/cell. Number 6: N(E_F) 7.66 states/eV/cell, V 318 Å³/cell. Number 7: N(E_F) 20.43 states/eV/cell, V 919 Å³/cell. Number 8: N(E_F) 18.02 states/eV/cell, V 943 Å³/cell. Number 9: N(E_F) 9.88 states/eV/cell, V 304 Å³/cell. Number 10: N(E_F) 4.00 states/eV/cell, V 178 Å³/cell. Number 11: N(E_F) 9.57 states/eV/cell, V 142 Å³/cell. Number 12: N(E_F) 18.47 states/eV/cell, V 737 Å³/cell. Number 13: N(E_F) 11.36 states/eV/cell, V 277 Å³/cell. Number 14: N(E_F) 11.69 states/eV/cell, V 521 Å³/cell. Number 15: N(E_F) 8.05 states/eV/cell, V 464 Å³/cell. Number 16: N(E_F) 12.26 states/eV/cell, V 557 Å³/cell. Number 17: N(E_F) 24.80 states/eV/cell, V 1109 Å³/cell. Number 18: N(E_F) 9.74 states/eV/cell, V 376 Å³/cell. Number 19: N(E_F) 15.13 states/eV/cell, V 1112 Å³/cell. Number 20: N(E_F) 4.10 states/eV/cell, V 164 Å³/cell.